Entry from Alexandria: NaSmBiAu after structural relaxation (PBE-GGA).

Computed properties:
total DFT energy (no corrections) = -0.28633 Ry/atom
energy of formation = -597 meV/atom

abc: 7.5123 7.5123 7.5123
angles: 90.00 90.00 90.00
Closest atoms and distances in Å follow each position.
Space group F-43m (No. 216)
One atom of each set of equivalent atoms:
Na 0.0000 0.0000 0.0000 (multiplicity 4)  4 Bi 3.25, 4 Au 3.25
Sm 0.0000 0.0000 0.5000 (multiplicity 4)  4 Au 3.25, 4 Bi 3.25
Bi 0.2500 0.2500 0.7500 (multiplicity 4)  4 Sm 3.25, 4 Na 3.25
Au 0.2500 0.2500 0.2500 (multiplicity 4)  4 Na 3.25, 4 Sm 3.25

Entry from Alexandria: NaSnBiAu after structural relaxation (PBE-GGA).

Computed properties:
total DFT energy (no corrections) = -0.23696 Ry/atom
energy of formation = -104 meV/atom

abc: 7.3468 7.3468 7.3468
angles: 90.00 90.00 90.00
Closest atoms and distances in Å follow each position.
Space group F-43m (No. 216)
One atom of each set of equivalent atoms:
Na 0.0000 0.0000 0.0000 (multiplicity 4)  4 Bi 3.18, 4 Sn 3.18
Sn 0.2500 0.2500 0.2500 (multiplicity 4)  4 Na 3.18, 4 Au 3.18
Bi 0.2500 0.2500 0.7500 (multiplicity 4)  4 Au 3.18, 4 Na 3.18
Au 0.0000 0.0000 0.5000 (multiplicity 4)  4 Sn 3.18, 4 Bi 3.18

Entry from Alexandria: NaSrBiAu after structural relaxation (PBE-GGA).

Computed properties:
total DFT energy (no corrections) = -0.22445 Ry/atom
energy of formation = -514 meV/atom

abc: 7.7224 7.7224 7.7224
angles: 90.00 90.00 90.00
Closest atoms and distances in Å follow each position.
Space group F-43m (No. 216)
One atom of each set of equivalent atoms:
Na 0.0000 0.0000 0.0000 (multiplicity 4)  4 Bi 3.34, 4 Au 3.34
Sr 0.0000 0.0000 0.5000 (multiplicity 4)  4 Bi 3.34, 4 Au 3.34
Bi 0.2500 0.2500 0.2500 (multiplicity 4)  4 Na 3.34, 4 Sr 3.34
Au 0.2500 0.2500 0.7500 (multiplicity 4)  4 Na 3.34, 4 Sr 3.34